[1]
The following is a PBE calculation of a geometry-optimized Ca3PH structure, from Alexandria via LeMat-Bulk.

a b c (Å): 4.711 4.711 4.711
angles (deg): 90.00 90.00 90.00
Atoms (fractional coordinates):
Ca 0.000 0.000 0.500
Ca 0.000 0.500 0.000
Ca 0.500 0.000 0.000
P 0.500 0.500 0.500
H 0.000 0.000 0.000

Computed properties:
Offset from the most stable computed form ... 309.4 meV per atom

=====

[2]
The following is a PBE calculation of a geometry-optimized Zn4IrPt3 structure, from Alexandria via LeMat-Bulk.

a b c (Å): 2.872 2.872 14.059
angles (deg): 90.00 90.00 90.00
Atoms (fractional coordinates):
Zn 0.000 0.000 0.121
Zn 0.000 0.000 0.373
Zn 0.000 0.000 0.627
Zn 0.000 0.000 0.879
Ir 0.500 0.500 0.000
Pt 0.500 0.500 0.248
Pt 0.500 0.500 0.500
Pt 0.500 0.500 0.752

Computed properties:
E_form ... -0.45 eV per atom

=====

[3]
The following is a PBE calculation of a geometry-optimized Ti5NiRh structure, from Alexandria via LeMat-Bulk.

a b c (Å): 5.372 5.372 9.250
angles (deg): 108.73 108.73 70.17
Atoms (fractional coordinates):
Ti 0.028 0.511 0.826
Ti 0.046 0.954 0.750
Ti 0.237 0.504 0.494
Ti 0.489 0.972 0.674
Ti 0.496 0.763 0.006
Ti 0.504 0.237 0.994
Ti 0.511 0.028 0.326
Ti 0.763 0.496 0.506
Ti 0.954 0.046 0.250
Ti 0.972 0.489 0.174
Ni 0.000 0.000 0.000
Ni 0.000 0.000 0.500
Rh 0.435 0.565 0.250
Rh 0.565 0.435 0.750

Computed properties:
E_form ... -0.06 eV per atom

=====

[4]
The following is a PBE calculation of a geometry-optimized AcCdSnSb structure, from Alexandria via LeMat-Bulk.

a b c (Å): 5.568 5.568 5.568
angles (deg): 60.00 60.00 60.00
Atoms (fractional coordinates):
Ac 0.000 0.000 0.000
Cd 0.750 0.750 0.750
Sn 0.250 0.250 0.250
Sb 0.500 0.500 0.500

Computed properties:
Raw formation energy ... -0.22 eV per atom

=====

[5]
The following is a PBE calculation of a geometry-optimized Rb2SmPaO6 structure, from Alexandria via LeMat-Bulk.

a b c (Å): 6.333 6.333 6.333
angles (deg): 60.00 60.00 60.00
Atoms (fractional coordinates):
Rb 0.250 0.250 0.250
Rb 0.750 0.750 0.750
Sm 0.000 0.000 0.000
Pa 0.500 0.500 0.500
O 0.260 0.260 0.740
O 0.260 0.740 0.260
O 0.260 0.740 0.740
O 0.740 0.260 0.260
O 0.740 0.260 0.740
O 0.740 0.740 0.260

Computed properties:
Raw formation energy ... -2.51 eV per atom